Entry 1:
# BeSi2I, relaxed, DFT PBE-GGA
data_BeSi2I
_chemical_formula_sum 'Be2 Si4 I2'
_space_group_name_H-M_alt 'P 1'
_space_group_IT_number 1
_cell_length_a 6.986
_cell_length_b 6.986
_cell_length_c 6.986
_cell_angle_alpha 131.62
_cell_angle_beta 131.62
_cell_angle_gamma 70.83
loop_
_space_group_symop_operation_xyz
'x,y,z'
loop_
_atom_site_label
_atom_site_fract_x
_atom_site_fract_y
_atom_site_fract_z
_atom_site_occupancy
Be1 0.000 0.000 0.000 1
Be2 0.750 0.250 0.500 1
Si1 0.375 0.249 0.374 1
Si2 0.751 0.125 0.126 1
Si3 0.875 0.001 0.626 1
Si4 0.999 0.625 0.874 1
I1 0.250 0.750 0.500 1
I2 0.500 0.500 0.000 1
# Formation energy without anion corrections = 0.62 eV per atom
# Space-group type = I-42d

Entry 2:
# BeSi2I, relaxed, DFT PBE-GGA
data_BeSi2I
_chemical_formula_sum 'Be1 Si2 I1'
_space_group_name_H-M_alt 'P 1'
_space_group_IT_number 1
_cell_length_a 3.788
_cell_length_b 3.849
_cell_length_c 7.404
_cell_angle_alpha 86.06
_cell_angle_beta 88.84
_cell_angle_gamma 61.95
loop_
_space_group_symop_operation_xyz
'x,y,z'
loop_
_atom_site_label
_atom_site_fract_x
_atom_site_fract_y
_atom_site_fract_z
_atom_site_occupancy
Be1 0.000 0.000 0.000 1
Si1 0.202 0.526 0.785 1
Si2 0.861 0.206 0.684 1
I1 0.535 0.906 0.204 1
# Formation energy without anion corrections = 0.20 eV per atom
# Space-group type = P1

Entry 3:
# BeSi2I, relaxed, DFT PBE-GGA
data_BeSi2I
_chemical_formula_sum 'Be2 Si4 I2'
_space_group_name_H-M_alt 'P 1'
_space_group_IT_number 1
_cell_length_a 4.006
_cell_length_b 5.495
_cell_length_c 10.757
_cell_angle_alpha 88.90
_cell_angle_beta 88.52
_cell_angle_gamma 69.08
loop_
_space_group_symop_operation_xyz
'x,y,z'
loop_
_atom_site_label
_atom_site_fract_x
_atom_site_fract_y
_atom_site_fract_z
_atom_site_occupancy
Be1 0.000 0.000 0.000 1
Be2 0.293 0.735 0.857 1
Si1 0.524 0.960 0.696 1
Si2 0.624 0.786 0.008 1
Si3 0.886 0.574 0.808 1
Si4 0.923 0.139 0.787 1
I1 0.545 0.921 0.467 1
I2 0.848 0.359 0.146 1
# Formation energy without anion corrections = 0.12 eV per atom
# Space-group type = P1

Entry 4:
# BeSi2I, relaxed, DFT PBE-GGA
data_BeSi2I
_chemical_formula_sum 'Be2 Si4 I2'
_space_group_name_H-M_alt 'P 1'
_space_group_IT_number 1
_cell_length_a 3.966
_cell_length_b 4.550
_cell_length_c 11.486
_cell_angle_alpha 94.09
_cell_angle_beta 98.80
_cell_angle_gamma 90.26
loop_
_space_group_symop_operation_xyz
'x,y,z'
loop_
_atom_site_label
_atom_site_fract_x
_atom_site_fract_y
_atom_site_fract_z
_atom_site_occupancy
Be1 0.000 0.000 0.000 1
Be2 0.004 0.511 0.978 1
Si1 0.106 0.756 0.292 1
Si2 0.530 0.729 0.039 1
Si3 0.583 0.986 0.228 1
Si4 0.875 0.364 0.152 1
I1 0.258 0.597 0.495 1
I2 0.931 0.195 0.805 1
# Formation energy without anion corrections = 0.11 eV per atom
# Space-group type = P1

no.,energy above the lowest structure with this stoichiometry (meV/atom),magnetization (Bohr magnetons per cell)
1,515,0.00
2,91,0.00
3,8,0.00
4,0,0.00